A relaxed structure of PuSc12Tl3. Source: Alexandria via LeMat-Bulk, functional PBE-GGA. Values from VASP.

Results
Energy of formation from the pure elements, eV per formula unit: -1.9
DOS(E_F), states/eV/f.u.: 25.53
Space-group type: P4/mmm

Cell and atoms, written as Quantum ESPRESSO input:
```
&SYSTEM
  ibrav = 0, nat = 16, ntyp = 3
/
ATOMIC_SPECIES
Pu 244.00 Pu.upf
Sc 44.96 Sc.upf
Tl 204.38 Tl.upf
CELL_PARAMETERS angstrom
4.544 0.000 0.000
0.000 4.544 0.000
0.000 0.000 18.203
ATOMIC_POSITIONS crystal
Pu 0.000 0.000 0.000
Sc 0.000 0.500 0.125
Sc 0.000 0.500 0.376
Sc 0.000 0.500 0.624
Sc 0.000 0.500 0.875
Sc 0.500 0.000 0.125
Sc 0.500 0.000 0.376
Sc 0.500 0.000 0.624
Sc 0.500 0.000 0.875
Sc 0.500 0.500 0.000
Sc 0.500 0.500 0.253
Sc 0.500 0.500 0.500
Sc 0.500 0.500 0.747
Tl 0.000 0.000 0.252
Tl 0.000 0.000 0.500
Tl 0.000 0.000 0.748
```



A relaxed structure of Tm8PuSc5. Source: Alexandria via LeMat-Bulk, functional PBE-GGA. Values from VASP.

Results
Energy of formation from the pure elements, eV per formula unit: 4.0
DOS(E_F), states/eV/f.u.: 28.87
Space-group type: I-4

Cell and atoms, written as Quantum ESPRESSO input:
```
&SYSTEM
  ibrav = 0, nat = 14, ntyp = 3
/
ATOMIC_SPECIES
Tm 168.93 Tm.upf
Pu 244.00 Pu.upf
Sc 44.96 Sc.upf
CELL_PARAMETERS angstrom
-4.561 4.561 4.844
4.561 -4.561 4.844
4.561 4.561 -4.844
ATOMIC_POSITIONS crystal
Tm 0.177 0.406 0.583
Tm 0.333 0.228 0.241
Tm 0.406 0.823 0.230
Tm 0.594 0.177 0.770
Tm 0.772 0.013 0.105
Tm 0.823 0.594 0.417
Tm 0.908 0.667 0.895
Tm 0.987 0.092 0.759
Pu 0.500 0.500 0.000
Sc 0.065 0.472 0.189
Sc 0.124 0.935 0.406
Sc 0.283 0.876 0.811
Sc 0.528 0.717 0.594
Sc 0.750 0.250 0.500
```



A relaxed structure of Tm2PuSc. Source: Alexandria via LeMat-Bulk, functional PBE-GGA. Values from VASP.

Results
Energy of formation from the pure elements, eV per formula unit: 0.4
DOS(E_F), states/eV/f.u.: 11.64
Space-group type: R3m

Cell and atoms, written as Quantum ESPRESSO input:
```
&SYSTEM
  ibrav = 0, nat = 4, ntyp = 3
/
ATOMIC_SPECIES
Tm 168.93 Tm.upf
Pu 244.00 Pu.upf
Sc 44.96 Sc.upf
CELL_PARAMETERS angstrom
1.712 0.988 10.995
-1.712 0.988 10.995
0.000 -1.977 10.995
ATOMIC_POSITIONS crystal
Tm 0.000 0.000 0.000
Tm 0.163 0.163 0.163
Pu 0.581 0.581 0.581
Sc 0.415 0.415 0.415
```



A relaxed structure of Tm12PuSc2. Source: Alexandria via LeMat-Bulk, functional PBE-GGA. Values from VASP.

Results
Energy of formation from the pure elements, eV per formula unit: 6.1
DOS(E_F), states/eV/f.u.: 30.97
Space-group type: P4/nbm

Cell and atoms, written as Quantum ESPRESSO input:
```
&SYSTEM
  ibrav = 0, nat = 30, ntyp = 3
/
ATOMIC_SPECIES
Tm 168.93 Tm.upf
Pu 244.00 Pu.upf
Sc 44.96 Sc.upf
CELL_PARAMETERS angstrom
6.203 0.000 0.000
0.000 6.203 0.000
0.000 0.000 24.703
ATOMIC_POSITIONS crystal
Tm 0.066 0.566 0.115
Tm 0.066 0.934 0.885
Tm 0.080 0.580 0.439
Tm 0.080 0.920 0.561
Tm 0.250 0.250 0.216
Tm 0.250 0.250 0.339
Tm 0.250 0.250 0.661
Tm 0.250 0.250 0.784
Tm 0.420 0.580 0.561
Tm 0.420 0.920 0.439
Tm 0.434 0.566 0.885
Tm 0.434 0.934 0.115
Tm 0.566 0.066 0.885
Tm 0.566 0.434 0.115
Tm 0.580 0.080 0.561
Tm 0.580 0.420 0.439
Tm 0.750 0.750 0.216
Tm 0.750 0.750 0.339
Tm 0.750 0.750 0.661
Tm 0.750 0.750 0.784
Tm 0.920 0.080 0.439
Tm 0.920 0.420 0.561
Tm 0.934 0.066 0.115
Tm 0.934 0.434 0.885
Pu 0.250 0.750 0.000
Pu 0.750 0.250 0.000
Sc 0.250 0.750 0.275
Sc 0.250 0.750 0.725
Sc 0.750 0.250 0.275
Sc 0.750 0.250 0.725
```



A relaxed structure of Tm4PuSc3. Source: Alexandria via LeMat-Bulk, functional PBE-GGA. Values from VASP.

Results
Energy of formation from the pure elements, eV per formula unit: 0.3
DOS(E_F), states/eV/f.u.: 17.21
Space-group type: Pmn2_1

Cell and atoms, written as Quantum ESPRESSO input:
```
&SYSTEM
  ibrav = 0, nat = 16, ntyp = 3
/
ATOMIC_SPECIES
Tm 168.93 Tm.upf
Pu 244.00 Pu.upf
Sc 44.96 Sc.upf
CELL_PARAMETERS angstrom
10.738 0.000 0.000
0.000 6.907 0.000
0.000 0.000 5.900
ATOMIC_POSITIONS crystal
Tm 0.000 0.134 0.000
Tm 0.000 0.865 0.503
Tm 0.250 0.133 0.651
Tm 0.250 0.867 0.151
Tm 0.500 0.135 0.003
Tm 0.500 0.866 0.500
Tm 0.750 0.133 0.651
Tm 0.750 0.867 0.151
Pu 0.000 0.380 0.493
Pu 0.500 0.620 0.993
Sc 0.000 0.616 0.991
Sc 0.250 0.384 0.165
Sc 0.250 0.616 0.665
Sc 0.500 0.384 0.491
Sc 0.750 0.384 0.165
Sc 0.750 0.616 0.665
```



A relaxed structure of Tm2PuSc. Source: Alexandria via LeMat-Bulk, functional PBE-GGA. Values from VASP.

Results
Energy of formation from the pure elements, eV per formula unit: 0.4
DOS(E_F), states/eV/f.u.: 10.16
Space-group type: P4/mmm

Cell and atoms, written as Quantum ESPRESSO input:
```
&SYSTEM
  ibrav = 0, nat = 4, ntyp = 3
/
ATOMIC_SPECIES
Tm 168.93 Tm.upf
Pu 244.00 Pu.upf
Sc 44.96 Sc.upf
CELL_PARAMETERS angstrom
3.380 0.000 0.000
0.000 3.380 0.000
0.000 0.000 9.744
ATOMIC_POSITIONS crystal
Tm 0.000 0.000 0.244
Tm 0.000 0.000 0.756
Pu 0.500 0.500 0.500
Sc 0.500 0.500 0.000
```